Entry from the Open Quantum Materials Database: an optimized crystal structure of NdTlCoO3 (PBE with a Hubbard U).

Cell lengths 6.0140, 6.0140, 9.5843 Å; angles 90.00, 90.00, 144.57 degrees
Sites, in units of the cell vectors:
Nd  0.0000  0.0000  0.0000
Nd  0.0000  0.0000  0.5000
Tl  0.2813  0.7187  0.7500
Tl  0.7187  0.2813  0.2500
Co  0.4338  0.5662  0.2500
Co  0.5662  0.4338  0.7500
O  0.0286  0.9714  0.2500
O  0.3793  0.6207  0.0622
O  0.3793  0.6207  0.4378
O  0.6207  0.3793  0.5622
O  0.6207  0.3793  0.9378
O  0.9714  0.0286  0.7500

## Properties
For the calculated volume, the calculation gives 16.75 Å³/atom. The value obtained for the energy is -0.229 hartree per atom.